# Na2AcTl4 | the Alexandria database | PBE | relaxed
data_Na2AcTl4
_chemical_formula_sum 'Na4 Ac2 Tl8'
_symmetry_space_group_name_H-M 'I m m m'
_symmetry_Int_Tables_number 71
_symmetry_space_group_name_Hall '-I 2 2'
_cell_length_a 3.752
_cell_length_b 5.196
_cell_length_c 22.343
_cell_angle_alpha 90.00
_cell_angle_beta 90.00
_cell_angle_gamma 90.00
loop_
_atom_site_label
_atom_site_fract_x
_atom_site_fract_y
_atom_site_fract_z
Na1 0.000 0.000 0.201
Ac1 0.000 0.500 0.000
Tl1 0.000 0.000 0.347
Tl2 0.000 0.500 0.427
# ΔE_f	-17.2	kJ per mole of atoms